The following is a DFT calculation (PBE) of a relaxed structure of Ba2Cd4GaAg3.

Cell lengths 4.809, 4.809, 11.798 Å; angles 90.00, 90.00, 90.00 degrees
Fractional positions:
Ba1 0.000 0.500 0.241
Ba2 0.500 0.000 0.759
Cd1 0.000 0.000 0.500
Cd2 0.000 0.500 0.875
Cd3 0.500 0.000 0.125
Cd4 0.500 0.500 0.500
Ga1 0.500 0.500 0.000
Ag1 0.000 0.000 0.000
Ag2 0.000 0.500 0.636
Ag3 0.500 0.000 0.364

Values from the calculation:
formation energy from the elements = -0.24 eV per atom
V = 27.3 Å³/atom